# 1
The following is a GGA-PBE calculation of a relaxed structure of KMg5, from Alexandria.

Cell lengths 3.442, 3.442, 14.072 Å; angles 90.00, 90.00, 90.00 degrees
Positions (direct):
Mg1 0.500 0.500 0.141
Mg2 0.000 0.000 0.285
Mg3 0.500 0.500 0.859
Mg4 0.000 0.000 0.000
Mg5 0.000 0.000 0.715
K1 0.500 0.500 0.500

Values from the calculation:
Space-group type: P4/mmm (123)
DOS at the Fermi energy, states/eV/atom: 0.537
Uncorrected energy, eV per atom: -1.4036
Crystal system: tetragonal

# 2
The following is a GGA-PBE calculation of a relaxed structure of Sm7Er4Th, from Alexandria.

Cell lengths 5.999, 11.563, 6.747 Å; angles 83.45, 63.60, 74.96 degrees
Positions (direct):
Th1 0.000 0.000 0.000
Sm1 0.370 0.502 0.759
Sm2 0.212 0.079 0.496
Sm3 0.941 0.324 0.794
Sm4 0.500 0.000 0.000
Sm5 0.630 0.498 0.241
Sm6 0.788 0.921 0.504
Sm7 0.059 0.676 0.206
Er1 0.249 0.318 0.184
Er2 0.638 0.224 0.500
Er3 0.362 0.776 0.500
Er4 0.751 0.682 0.816

Values from the calculation:
Space-group type: C2/m (12)
DOS at the Fermi energy, states/eV/atom: 1.384
Uncorrected energy, eV per atom: -4.6011
Crystal system: monoclinic

# 3
The following is a GGA-PBE calculation of a relaxed structure of KNp2Te4Pd, from Alexandria.

Cell lengths 4.381, 7.852, 15.451 Å; angles 90.00, 90.00, 106.20 degrees
Last column: magnetic moment on the atom in μB.
Positions (direct):
Np1 0.633 0.267 0.068  3.83
Np2 0.367 0.733 0.568  3.83
Np3 0.633 0.267 0.432  3.83
Np4 0.367 0.733 0.932  3.83
Te1 0.270 0.539 0.109  -0.11
Te2 0.441 0.883 0.750  -0.11
Te3 0.730 0.461 0.891  -0.11
Te4 0.000 0.000 0.500  -0.12
Te5 0.730 0.461 0.609  -0.11
Te6 0.000 0.000 0.000  -0.12
Te7 0.270 0.539 0.391  -0.11
Te8 0.559 0.117 0.250  -0.11
Pd1 0.838 0.677 0.750  -0.18
Pd2 0.162 0.323 0.250  -0.18
K1 0.118 0.235 0.750  -0.01
K2 0.882 0.765 0.250  -0.01

Values from the calculation:
ΔE_f (raw), eV/f.u.: -5.8
Space-group type: Cmcm (63)
DOS at the Fermi energy, states/eV/atom: 2.796
Crystal system: orthorhombic

# 4
The following is a GGA-PBE calculation of a relaxed structure of Be2GePd2, from Alexandria.

Cell lengths 6.395, 6.395, 3.072 Å; angles 90.00, 90.00, 90.00 degrees
Positions (direct):
Ge1 0.000 0.000 0.000
Ge2 0.500 0.500 0.000
Pd1 0.839 0.339 0.500
Pd2 0.161 0.661 0.500
Pd3 0.339 0.161 0.500
Pd4 0.661 0.839 0.500
Be1 0.374 0.874 0.000
Be2 0.126 0.374 0.000
Be3 0.626 0.126 0.000
Be4 0.874 0.626 0.000

Values from the calculation:
Space-group type: P4/mbm (127)
DOS at the Fermi energy, states/eV/atom: 0.219
Uncorrected energy, eV per atom: -4.8231
Crystal system: tetragonal

# 5
The following is a GGA-PBE calculation of a relaxed structure of BaNiAg2Sn, from Alexandria.

Cell lengths 5.171, 5.171, 4.809 Å; angles 90.00, 90.00, 90.00 degrees
Positions (direct):
Sn1 0.000 0.000 0.500
Ba1 0.500 0.500 0.500
Ag1 0.000 0.500 0.000
Ag2 0.500 0.000 0.000
Ni1 0.000 0.000 0.000

Values from the calculation:
Space-group type: P4/mmm (123)
DOS at the Fermi energy, states/eV/atom: 0.421
Uncorrected energy, eV per atom: -3.6120
Crystal system: tetragonal

# 6
The following is a GGA-PBE calculation of a relaxed structure of U2Hg3Br8, from Alexandria.

Cell lengths 5.509, 11.155, 11.155 Å; angles 46.27, 81.95, 81.95 degrees
Last column: magnetic moment on the atom in μB.
Positions (direct):
Br1 0.553 0.604 0.064  -0.04
Br2 0.447 0.396 0.936  -0.04
Br3 0.447 0.936 0.396  -0.04
Br4 0.071 0.779 0.779  -0.03
Br5 0.081 0.387 0.387  -0.04
Br6 0.919 0.613 0.613  -0.04
Br7 0.553 0.064 0.604  -0.04
Br8 0.929 0.221 0.221  -0.03
U1 0.393 0.270 0.270  2.24
U2 0.607 0.730 0.730  2.24
Hg1 0.500 0.000 0.000  0.00
Hg2 0.000 0.188 0.812  -0.01
Hg3 0.000 0.812 0.188  -0.01

Values from the calculation:
ΔE_f (raw), eV/f.u.: -12.1
Space-group type: C2/m (12)
DOS at the Fermi energy, states/eV/atom: 1.030
Crystal system: monoclinic

Please write out number 1 again, unchanged.
The following is a GGA-PBE calculation of a relaxed structure of KMg5, from Alexandria.

Cell lengths 3.442, 3.442, 14.072 Å; angles 90.00, 90.00, 90.00 degrees
Positions (direct):
Mg1 0.500 0.500 0.141
Mg2 0.000 0.000 0.285
Mg3 0.500 0.500 0.859
Mg4 0.000 0.000 0.000
Mg5 0.000 0.000 0.715
K1 0.500 0.500 0.500

Values from the calculation:
Space-group type: P4/mmm (123)
DOS at the Fermi energy, states/eV/atom: 0.537
Uncorrected energy, eV per atom: -1.4036
Crystal system: tetragonal

Q: Which value of DOS at the Fermi energy does entry 4 give?
A: 0.219 states/eV/atom

Q: What is the formula in the sixth record?
A: U2Hg3Br8